Record 1
Density functional theory data (PBE) for a relaxed structure of Y5Hg2Ir2.

Cell lengths 8.7903, 8.7903, 7.6349 Å; angles 90.00, 90.00, 50.62 degrees
Sites, in units of the cell vectors:
1 Y 0.0000 0.0000 0.0000
2 Y 0.0509 0.7030 0.6729
3 Y 0.2030 0.5509 0.1729
4 Y 0.2970 0.9491 0.6729
5 Y 0.4491 0.7970 0.1729
6 Y 0.5000 0.5000 0.5000
7 Y 0.5509 0.2030 0.8271
8 Y 0.7030 0.0509 0.3271
9 Y 0.7970 0.4491 0.8271
10 Y 0.9491 0.2970 0.3271
11 Hg 0.2148 0.2148 0.0000
12 Hg 0.2852 0.2852 0.5000
13 Hg 0.7148 0.7148 0.5000
14 Hg 0.7852 0.7852 0.0000
15 Ir 0.1274 0.8726 0.3698
16 Ir 0.3726 0.6274 0.8698
17 Ir 0.6274 0.3726 0.1302
18 Ir 0.8726 0.1274 0.6302

Results
Magnetization ... 0.0000 μB/atom
Electronic total energy ... -6.2874 eV/atom
Symmetry ... No. 64
Calculated volume ... 25.3 Å³/atom

Record 2
Density functional theory data (PBE) for a relaxed structure of YHgIr.

Cell lengths 3.9821, 3.9821, 5.4025 Å; angles 90.00, 90.00, 120.00 degrees
Sites, in units of the cell vectors:
1 Y 0.0000 0.0000 0.0000
2 Hg 0.6667 0.3333 0.4307
3 Ir 0.3333 0.6667 0.7190

Results
Magnetization ... 0.0000 μB/atom
Electronic total energy ... -5.3740 eV/atom
Symmetry ... No. 156
Calculated volume ... 24.7 Å³/atom

Record 3
Density functional theory data (PBE) for a relaxed structure of Y6Hg5Ir.

Cell lengths 8.9712, 8.9712, 8.9712 Å; angles 146.57, 130.91, 60.69 degrees
Sites, in units of the cell vectors:
1 Y 0.0787 0.3432 0.7354
2 Y 0.2271 0.0000 0.2271
3 Y 0.3922 0.6568 0.7354
4 Y 0.6078 0.3432 0.2646
5 Y 0.7729 0.0000 0.7729
6 Y 0.9213 0.6568 0.2646
7 Hg 0.1828 0.1828 0.0000
8 Hg 0.3343 0.8343 0.5000
9 Hg 0.5000 0.5000 0.0000
10 Hg 0.6657 0.1657 0.5000
11 Hg 0.8172 0.8172 0.0000
12 Ir 0.0000 0.5000 0.5000

Results
Magnetization ... 0.0000 μB/atom
Electronic total energy ... -4.6706 eV/atom
Symmetry ... No. 71
Calculated volume ... 24.8 Å³/atom

Record 4
Density functional theory data (PBE) for a relaxed structure of YHg4Ir.

Cell lengths 5.6824, 5.6824, 5.6824 Å; angles 60.00, 60.00, 60.00 degrees
Sites, in units of the cell vectors:
1 Y 0.0000 0.0000 0.0000
2 Hg 0.1264 0.6245 0.6245
3 Hg 0.6245 0.1264 0.6245
4 Hg 0.6245 0.6245 0.1264
5 Hg 0.6245 0.6245 0.6245
6 Ir 0.2500 0.2500 0.2500

Results
Magnetization ... 0.0000 μB/atom
Electronic total energy ... -2.6002 eV/atom
Symmetry ... No. 216
Calculated volume ... 21.6 Å³/atom

Record 5
Density functional theory data (PBE) for a relaxed structure of Y5Hg4Ir.

Cell lengths 3.6272, 3.6272, 18.7529 Å; angles 90.00, 90.00, 90.00 degrees
Sites, in units of the cell vectors:
1 Y 0.0000 0.0000 0.0000
2 Y 0.0000 0.0000 0.2056
3 Y 0.0000 0.0000 0.4144
4 Y 0.0000 0.0000 0.5856
5 Y 0.0000 0.0000 0.7944
6 Hg 0.5000 0.5000 0.1025
7 Hg 0.5000 0.5000 0.3056
8 Hg 0.5000 0.5000 0.6944
9 Hg 0.5000 0.5000 0.8975
10 Ir 0.5000 0.5000 0.5000

Results
Magnetization ... 0.0004 μB/atom
Electronic total energy ... -4.8114 eV/atom
Symmetry ... No. 123
Calculated volume ... 24.7 Å³/atom

Record 6
Density functional theory data (PBE) for a relaxed structure of Y4Hg3Ir.

Cell lengths 3.6051, 3.6051, 15.0277 Å; angles 90.00, 90.00, 90.00 degrees
Sites, in units of the cell vectors:
1 Y 0.0000 0.0000 0.1071
2 Y 0.0000 0.0000 0.3708
3 Y 0.0000 0.0000 0.6292
4 Y 0.0000 0.0000 0.8929
5 Hg 0.5000 0.5000 0.2447
6 Hg 0.5000 0.5000 0.5000
7 Hg 0.5000 0.5000 0.7553
8 Ir 0.5000 0.5000 0.0000

Results
Magnetization ... 0.0000 μB/atom
Electronic total energy ... -5.0430 eV/atom
Symmetry ... No. 123
Calculated volume ... 24.4 Å³/atom

Record 7
Density functional theory data (PBE) for a relaxed structure of YHg3Ir.

Cell lengths 5.7543, 5.7543, 5.7543 Å; angles 90.00, 90.00, 90.00 degrees
Sites, in units of the cell vectors:
1 Y 0.0000 0.0000 0.0000
2 Hg 0.0000 0.0000 0.5000
3 Hg 0.0000 0.5000 0.0000
4 Hg 0.5000 0.0000 0.0000
5 Ir 0.5000 0.5000 0.5000

Results
Magnetization ... 0.3340 μB/atom
Electronic total energy ... -1.8585 eV/atom
Energy above the most stable polymorph in this dataset ... 1.096 eV/atom
Symmetry ... No. 221
Calculated volume ... 38.1 Å³/atom

Record 8
Density functional theory data (PBE) for a relaxed structure of Y2HgIr.

Cell lengths 7.7083, 7.7083, 7.7083 Å; angles 30.94, 30.94, 30.94 degrees
Sites, in units of the cell vectors:
1 Y 0.0000 0.0000 0.0000
2 Y 0.2008 0.2008 0.2008
3 Hg 0.7660 0.7660 0.7660
4 Ir 0.6018 0.6018 0.6018

Results
Magnetization ... 0.0000 μB/atom
Electronic total energy ... -6.0985 eV/atom
Symmetry ... No. 160
Calculated volume ... 26.8 Å³/atom

Record 9
Density functional theory data (PBE) for a relaxed structure of Y6HgIr2.

Cell lengths 8.5077, 8.5077, 8.5077 Å; angles 112.86, 111.02, 104.64 degrees
Sites, in units of the cell vectors:
1 Y 0.0397 0.2403 0.7993
2 Y 0.1810 0.2821 0.4631
3 Y 0.1810 0.7179 0.8988
4 Y 0.3302 0.0218 0.6916
5 Y 0.3302 0.6386 0.3084
6 Y 0.4410 0.2403 0.2007
7 Y 0.5590 0.7597 0.7993
8 Y 0.6698 0.3614 0.6916
9 Y 0.6698 0.9782 0.3084
10 Y 0.8190 0.2821 0.1012
11 Y 0.8190 0.7179 0.5369
12 Y 0.9603 0.7597 0.2007
13 Hg 0.0000 0.0000 0.0000
14 Hg 0.5000 0.5000 0.0000
15 Ir 0.1284 0.6284 0.5000
16 Ir 0.3352 0.0000 0.3352
17 Ir 0.6648 0.0000 0.6648
18 Ir 0.8716 0.3716 0.5000

Results
Magnetization ... 0.0000 μB/atom
Electronic total energy ... -6.8933 eV/atom
Symmetry ... No. 71
Calculated volume ... 26.2 Å³/atom

Record 10
Density functional theory data (PBE) for a relaxed structure of YHg2Ir2.

Cell lengths 6.7915, 6.7915, 6.7915 Å; angles 143.96, 143.96, 51.89 degrees
Sites, in units of the cell vectors:
1 Y 0.0000 0.0000 0.0000
2 Hg 0.2500 0.7500 0.5000
3 Hg 0.7500 0.2500 0.5000
4 Ir 0.4016 0.4016 0.0000
5 Ir 0.5984 0.5984 0.0000

Results
Magnetization ... 0.0000 μB/atom
Electronic total energy ... -4.9969 eV/atom
Energy above the most stable polymorph in this dataset ... 0.000 eV/atom
Symmetry ... No. 139
Calculated volume ... 21.6 Å³/atom

Record 11
Density functional theory data (PBE) for a relaxed structure of Y2HgIr.

Cell lengths 7.8815, 7.8815, 7.8815 Å; angles 29.72, 29.72, 29.72 degrees
Sites, in units of the cell vectors:
1 Y 0.2338 0.2338 0.2338
2 Y 0.7662 0.7662 0.7662
3 Hg 0.0000 0.0000 0.0000
4 Ir 0.5000 0.5000 0.5000

Results
Magnetization ... 0.0000 μB/atom
Electronic total energy ... -6.1075 eV/atom
Symmetry ... No. 166
Calculated volume ... 26.6 Å³/atom

Record 12
Density functional theory data (PBE) for a relaxed structure of YHgIr.

Cell lengths 7.1682, 4.1112, 8.8010 Å; angles 90.00, 90.00, 90.00 degrees
Sites, in units of the cell vectors:
1 Y 0.0426 0.2500 0.1765
2 Y 0.4574 0.7500 0.6765
3 Y 0.5426 0.2500 0.3235
4 Y 0.9574 0.7500 0.8235
5 Hg 0.1415 0.2500 0.5653
6 Hg 0.3585 0.7500 0.0653
7 Hg 0.6415 0.2500 0.9347
8 Hg 0.8585 0.7500 0.4347
9 Ir 0.2382 0.2500 0.8693
10 Ir 0.2618 0.7500 0.3693
11 Ir 0.7382 0.2500 0.6307
12 Ir 0.7618 0.7500 0.1307

Results
Magnetization ... 0.0000 μB/atom
Electronic total energy ... -5.6875 eV/atom
Symmetry ... No. 62
Calculated volume ... 21.6 Å³/atom

Record 13
Density functional theory data (PBE) for a relaxed structure of Y4HgIr2.

Cell lengths 7.6449, 7.6449, 7.6449 Å; angles 109.01, 109.01, 110.41 degrees
Sites, in units of the cell vectors:
1 Y 0.1013 0.4964 0.7458
2 Y 0.1055 0.0007 0.7542
3 Y 0.2464 0.3513 0.2458
4 Y 0.5036 0.2493 0.6048
5 Y 0.6445 0.8987 0.3952
6 Y 0.6487 0.8945 0.8952
7 Y 0.7507 0.3555 0.2542
8 Y 0.9993 0.7536 0.1048
9 Hg 0.2500 0.7500 0.5000
10 Hg 0.5000 0.5000 0.0000
11 Ir 0.0058 0.1250 0.3808
12 Ir 0.3750 0.9942 0.1192
13 Ir 0.7442 0.6250 0.6192
14 Ir 0.8750 0.2558 0.8808

Results
Magnetization ... 0.0000 μB/atom
Electronic total energy ... -6.8753 eV/atom
Symmetry ... No. 122
Calculated volume ... 24.6 Å³/atom

Record 14
Density functional theory data (PBE) for a relaxed structure of Y3HgIr.

Cell lengths 5.8058, 5.8271, 8.7896 Å; angles 101.20, 101.14, 113.13 degrees
Sites, in units of the cell vectors:
1 Y 0.0705 0.1992 0.2807
2 Y 0.3000 0.4296 0.7197
3 Y 0.2996 0.7995 0.1020
4 Y 0.7004 0.2005 0.8980
5 Y 0.7000 0.5704 0.2803
6 Y 0.9295 0.8008 0.7193
7 Hg 0.2812 0.7783 0.4910
8 Hg 0.7188 0.2217 0.5090
9 Ir 0.2500 0.2495 0.0000
10 Ir 0.7500 0.7505 0.0000

Results
Magnetization ... 0.0000 μB/atom
Electronic total energy ... -6.2946 eV/atom
Energy above the most stable polymorph in this dataset ... 0.000 eV/atom
Symmetry ... No. 2
Calculated volume ... 25.6 Å³/atom

Record 15
Density functional theory data (PBE) for a relaxed structure of YZrHgIr.

Cell lengths 4.9329, 4.9329, 4.9329 Å; angles 60.00, 60.00, 60.00 degrees
Sites, in units of the cell vectors:
1 Y 0.0000 0.0000 0.0000
2 Zr 0.5000 0.5000 0.5000
3 Hg 0.7500 0.7500 0.7500
4 Ir 0.2500 0.2500 0.2500

Results
Magnetization ... 0.0000 μB/atom
Electronic total energy ... -6.4848 eV/atom
Symmetry ... No. 216
Calculated volume ... 21.2 Å³/atom

Record 16
Density functional theory data (PBE) for a relaxed structure of Y2ZrHgIr.

Cell lengths 5.2513, 5.2513, 5.2510 Å; angles 90.00, 90.00, 90.00 degrees
Sites, in units of the cell vectors:
1 Y 0.0000 0.5000 0.0000
2 Y 0.5000 0.0000 0.0000
3 Zr 0.0000 0.0000 0.5000
4 Hg 0.5000 0.5000 0.5000
5 Ir 0.5000 0.5000 0.0000

Results
Magnetization ... 0.3671 μB/atom
Electronic total energy ... -5.9353 eV/atom
Symmetry ... No. 123
Calculated volume ... 29.0 Å³/atom

Record 17
Density functional theory data (PBE) for a relaxed structure of ZnHgIr3.

Cell lengths 4.9399, 4.9399, 4.9399 Å; angles 90.00, 90.00, 90.00 degrees
Sites, in units of the cell vectors:
1 Zn 0.0000 0.0000 0.0000
2 Hg 0.5000 0.5000 0.5000
3 Ir 0.0000 0.5000 0.5000
4 Ir 0.5000 0.0000 0.5000
5 Ir 0.5000 0.5000 0.0000

Results
Magnetization ... 0.4239 μB/atom
Electronic total energy ... -3.2402 eV/atom
Energy above the most stable polymorph in this dataset ... 0.932 eV/atom
Symmetry ... No. 221
Calculated volume ... 24.1 Å³/atom

Record 18
Density functional theory data (PBE) for a relaxed structure of Zn2HgIr2.

Cell lengths 7.2589, 7.2589, 3.0551 Å; angles 90.00, 90.00, 90.00 degrees
Sites, in units of the cell vectors:
1 Zn 0.1634 0.3366 0.0000
2 Zn 0.3366 0.8366 0.0000
3 Zn 0.6634 0.1634 0.0000
4 Zn 0.8366 0.6634 0.0000
5 Hg 0.0000 0.0000 0.5000
6 Hg 0.5000 0.5000 0.5000
7 Ir 0.1331 0.6331 0.5000
8 Ir 0.3669 0.1331 0.5000
9 Ir 0.6331 0.8669 0.5000
10 Ir 0.8669 0.3669 0.5000

Results
Magnetization ... 0.0000 μB/atom
Electronic total energy ... -4.0607 eV/atom
Energy above the most stable polymorph in this dataset ... 0.000 eV/atom
Symmetry ... No. 127
Calculated volume ... 16.1 Å³/atom

Record 19
Density functional theory data (PBE) for a relaxed structure of ZnHg2Ir2.

Cell lengths 6.5258, 6.5258, 4.3079 Å; angles 90.00, 90.00, 90.00 degrees
Sites, in units of the cell vectors:
1 Zn 0.0000 0.0000 0.0000
2 Zn 0.5000 0.5000 0.0000
3 Hg 0.1713 0.3287 0.5000
4 Hg 0.3287 0.8287 0.5000
5 Hg 0.6713 0.1713 0.5000
6 Hg 0.8287 0.6713 0.5000
7 Ir 0.1368 0.6368 0.0000
8 Ir 0.3632 0.1368 0.0000
9 Ir 0.6368 0.8632 0.0000
10 Ir 0.8632 0.3632 0.0000

Results
Magnetization ... 0.0425 μB/atom
Electronic total energy ... -3.6715 eV/atom
Symmetry ... No. 127
Calculated volume ... 18.3 Å³/atom

Record 20
Density functional theory data (PBE) for a relaxed structure of Zn4HgIr.

Cell lengths 5.0526, 5.0526, 5.0526 Å; angles 60.00, 60.00, 60.00 degrees
Sites, in units of the cell vectors:
1 Zn 0.3757 0.3757 0.3757
2 Zn 0.3757 0.3757 0.8730
3 Zn 0.3757 0.8730 0.3757
4 Zn 0.8730 0.3757 0.3757
5 Hg 0.0000 0.0000 0.0000
6 Ir 0.7500 0.7500 0.7500

Results
Magnetization ... 0.0000 μB/atom
Electronic total energy ... -2.2628 eV/atom
Symmetry ... No. 216
Calculated volume ... 15.2 Å³/atom

Record 21
Density functional theory data (PBE) for a relaxed structure of Zn2HgIr2.

Cell lengths 7.3693, 7.3693, 2.9133 Å; angles 90.00, 90.00, 90.00 degrees
Sites, in units of the cell vectors:
1 Zn 0.1277 0.3723 0.0000
2 Zn 0.3723 0.8723 0.0000
3 Zn 0.6277 0.1277 0.0000
4 Zn 0.8723 0.6277 0.0000
5 Hg 0.0000 0.0000 0.0000
6 Hg 0.5000 0.5000 0.0000
7 Ir 0.1673 0.6673 0.5000
8 Ir 0.3327 0.1673 0.5000
9 Ir 0.6673 0.8327 0.5000
10 Ir 0.8327 0.3327 0.5000

Results
Magnetization ... 0.0000 μB/atom
Electronic total energy ... -3.9569 eV/atom
Energy above the most stable polymorph in this dataset ... 0.104 eV/atom
Symmetry ... No. 127
Calculated volume ... 15.8 Å³/atom

Record 22
Density functional theory data (PBE) for a relaxed structure of ZnHgIr4.

Cell lengths 5.2373, 5.2373, 5.2373 Å; angles 60.00, 60.00, 60.00 degrees
Sites, in units of the cell vectors:
1 Zn 0.0000 0.0000 0.0000
2 Hg 0.7500 0.7500 0.7500
3 Ir 0.3747 0.3747 0.3747
4 Ir 0.3747 0.3747 0.8758
5 Ir 0.3747 0.8758 0.3747
6 Ir 0.8758 0.3747 0.3747

Results
Magnetization ... 0.0001 μB/atom
Electronic total energy ... -5.6957 eV/atom
Symmetry ... No. 216
Calculated volume ... 16.9 Å³/atom

Record 23
Density functional theory data (PBE) for a relaxed structure of Zn3HgIr.

Cell lengths 4.8563, 4.8563, 4.8563 Å; angles 90.00, 90.00, 90.00 degrees
Sites, in units of the cell vectors:
1 Zn 0.0000 0.0000 0.5000
2 Zn 0.0000 0.5000 0.0000
3 Zn 0.5000 0.0000 0.0000
4 Hg 0.5000 0.5000 0.5000
5 Ir 0.0000 0.0000 0.0000

Results
Magnetization ... 0.0000 μB/atom
Electronic total energy ... -2.3946 eV/atom
Energy above the most stable polymorph in this dataset ... 0.000 eV/atom
Symmetry ... No. 221
Calculated volume ... 22.9 Å³/atom

Record 24
Density functional theory data (PBE) for a relaxed structure of Zn2Hg2Ir.

Cell lengths 6.6665, 6.6665, 4.1037 Å; angles 90.00, 90.00, 90.00 degrees
Sites, in units of the cell vectors:
1 Zn 0.1421 0.3579 0.0000
2 Zn 0.3579 0.8579 0.0000
3 Zn 0.6421 0.1421 0.0000
4 Zn 0.8579 0.6421 0.0000
5 Hg 0.1656 0.6656 0.5000
6 Hg 0.3344 0.1656 0.5000
7 Hg 0.6656 0.8344 0.5000
8 Hg 0.8344 0.3344 0.5000
9 Ir 0.0000 0.0000 0.0000
10 Ir 0.5000 0.5000 0.0000

Results
Magnetization ... 0.0000 μB/atom
Electronic total energy ... -2.0904 eV/atom
Symmetry ... No. 127
Calculated volume ... 18.2 Å³/atom